(1)
Material: YZr2Sc2
Method: DFT, GGA-PBE
State: optimized geometry

Unit cell a=6.5287 b=6.5287 c=6.1375 alpha=90.00 beta=90.00 gamma=90.00
Space group P4_2/mmc (No. 131)
One atom of each set of equivalent atoms:
Y 0.0000 0.0000 0.2500 x2
Zr 0.1885 0.5000 0.0000 x4
Sc 0.2163 0.5000 0.5000 x4

energy relative to the lowest polymorph listed for this composition = 0.507 eV/atom
ΔE_f = 0.585 eV per atom
crystal system = tetragonal
density of states at the Fermi level = 7.7 states/eV/f.u.
DFT total energy = -6.6602 eV/atom


(2)
Material: Sb5C
Method: DFT, GGA-PBE
State: optimized geometry

Unit cell a=6.0653 b=6.0653 c=5.5158 alpha=90.00 beta=90.00 gamma=120.00
Space group P6/mmm (No. 191)
One atom of each set of equivalent atoms:
Sb 0.0000 0.5000 0.0000 x3
Sb 0.3333 0.6667 0.5000 x2
C 0.0000 0.0000 0.5000 x1

energy relative to the lowest polymorph listed for this composition = 0.826 eV/atom
crystal system = hexagonal
density of states at the Fermi level = 3.1 states/eV/f.u.
DFT total energy = -3.5822 eV/atom


(3)
Material: Cs3Ac3ZrTe8
Method: DFT, GGA-PBE
State: optimized geometry

Unit cell a=9.4566 b=9.4566 c=27.5413 alpha=90.00 beta=90.00 gamma=120.00
Space group R-3m (No. 166, hexagonal axes)
One atom of each set of equivalent atoms:
Cs 0.0000 0.5000 0.0000 x9
Ac 0.0000 0.5000 0.5000 x9
Zr 0.0000 0.0000 0.5000 x3
Te 0.0000 0.0000 0.2351 x6
Te 0.0335 0.5168 0.2289 x18

crystal system = trigonal
DFT total energy = -4.5831 eV/atom


(4)
Material: Sb2MoPb
Method: DFT, GGA-PBE
State: optimized geometry

Unit cell a=7.2229 b=7.2229 c=7.2229 alpha=90.00 beta=90.00 gamma=90.00
Space group F-43m (No. 216)
One atom of each set of equivalent atoms:
Sb 0.0000 0.0000 0.0000 x4
Sb 0.2500 0.2500 0.2500 x4
Mo 0.0000 0.0000 0.5000 x4
Pb 0.2500 0.2500 0.7500 x4

crystal system = cubic
density of states at the Fermi level = 3.7 states/eV/f.u.
DFT total energy = -4.9498 eV/atom


(5)
Material: Ac3Pr8Nd
Method: DFT, GGA-PBE
State: optimized geometry

Unit cell a=6.7680 b=9.5409 c=14.6420 alpha=90.00 beta=90.00 gamma=90.00
Space group I222 (No. 23)
One atom of each set of equivalent atoms:
Ac 0.0000 0.0000 0.0000 x2
Ac 0.0000 0.5000 0.3706 x4
Pr 0.1282 0.3420 0.8977 x8
Pr 0.1400 0.1484 0.7086 x8
Nd 0.0000 0.0000 0.5000 x2

ΔE_f = 0.236 eV per atom
crystal system = orthorhombic
density of states at the Fermi level = 16.9 states/eV/f.u.
DFT total energy = -4.3744 eV/atom


(6)
Material: Cd3AsC
Method: DFT, GGA-PBE
State: optimized geometry

Unit cell a=4.6117 b=4.6117 c=4.6117 alpha=90.00 beta=90.00 gamma=90.00
Space group Pm-3m (No. 221)
One atom of each set of equivalent atoms:
Cd 0.0000 0.0000 0.5000 x3
As 0.5000 0.5000 0.5000 x1
C 0.0000 0.0000 0.0000 x1

energy relative to the lowest polymorph listed for this composition = 0.000 eV/atom
ΔE_f = 0.740 eV per atom
crystal system = cubic
density of states at the Fermi level = 3.9 states/eV/f.u.
DFT total energy = -2.5841 eV/atom


(7)
Material: Ti2NbNiH
Method: DFT, GGA-PBE
State: optimized geometry

Unit cell a=4.0267 b=4.0267 c=4.0005 alpha=90.00 beta=90.00 gamma=90.00
Space group P4/mmm (No. 123)
One atom of each set of equivalent atoms:
Ti 0.0000 0.5000 0.0000 x2
Nb 0.0000 0.0000 0.5000 x1
Ni 0.5000 0.5000 0.5000 x1
H 0.0000 0.0000 0.0000 x1

energy relative to the lowest polymorph listed for this composition = 0.050 eV/atom
crystal system = tetragonal
density of states at the Fermi level = 5.9 states/eV/f.u.
DFT total energy = -7.1504 eV/atom


(8)
Material: TbY4Er2Tm2
Method: DFT, GGA-PBE
State: optimized geometry

Unit cell a=18.5549 b=3.5713 c=9.4735 alpha=90.00 beta=115.80 gamma=90.00
Space group C2/m (No. 12)
One atom of each set of equivalent atoms:
Tb 0.0000 0.0000 0.0000 x2
Y 0.0186 0.5000 0.3350 x4
Y 0.1858 0.0000 0.3330 x4
Er 0.1486 0.0000 0.6680 x4
Tm 0.1674 0.5000 0.9988 x4

ΔE_f = 0.004 eV per atom
crystal system = monoclinic
density of states at the Fermi level = 12.7 states/eV/f.u.
DFT total energy = -5.3913 eV/atom


(9)
Material: SrCd2GeO4
Method: DFT, GGA-PBE
State: optimized geometry

Unit cell a=5.1921 b=5.1921 c=10.5860 alpha=90.00 beta=90.00 gamma=90.00
Space group I-42m (No. 121)
One atom of each set of equivalent atoms:
Sr 0.0000 0.0000 0.0000 x2
Cd 0.0000 0.5000 0.2500 x4
Ge 0.0000 0.0000 0.5000 x2
O 0.1990 0.1990 0.3989 x8

crystal system = tetragonal
density of states at the Fermi level = 1.2 states/eV/f.u.
DFT total energy = -4.9532 eV/atom


(10)
Material: Zr3RuSe
Method: DFT, GGA-PBE
State: optimized geometry

Unit cell a=5.0184 b=5.0184 c=5.0184 alpha=90.00 beta=90.00 gamma=90.00
Space group Pm-3m (No. 221)
One atom of each set of equivalent atoms:
Zr 0.0000 0.0000 0.5000 x3
Ru 0.0000 0.0000 0.0000 x1
Se 0.5000 0.5000 0.5000 x1

energy relative to the lowest polymorph listed for this composition = 0.000 eV/atom
crystal system = cubic
density of states at the Fermi level = 3.7 states/eV/f.u.
DFT total energy = -7.5364 eV/atom


(11)
Material: ThCdCuPt
Method: DFT, GGA-PBE
State: optimized geometry

Unit cell a=6.9254 b=6.9254 c=6.9254 alpha=90.00 beta=90.00 gamma=90.00
Space group F-43m (No. 216)
One atom of each set of equivalent atoms:
Th 0.0000 0.0000 0.0000 x4
Cd 0.0000 0.0000 0.5000 x4
Cu 0.2500 0.2500 0.2500 x4
Pt 0.2500 0.2500 0.7500 x4

ΔE_f = -0.514 eV per atom
crystal system = cubic
density of states at the Fermi level = 3.0 states/eV/f.u.
DFT total energy = -5.1319 eV/atom


(12)
Material: Zr2MnHOs
Method: DFT, GGA-PBE
State: optimized geometry

Unit cell a=4.6008 b=4.6008 c=3.3391 alpha=90.00 beta=90.00 gamma=90.00
Space group P4/mmm (No. 123)
One atom of each set of equivalent atoms:
Zr 0.0000 0.5000 0.0000 x2
Mn 0.0000 0.0000 0.5000 x1
H 0.0000 0.0000 0.0000 x1
Os 0.5000 0.5000 0.5000 x1

crystal system = tetragonal
density of states at the Fermi level = 1.8 states/eV/f.u.
DFT total energy = -8.4969 eV/atom